DFT (GGA-PBE) results for crystalline LiTh2Sn at its relaxed geometry.

Lattice parameters (Å, degrees): 4.8100 4.8100 4.6655 90.00 90.00 90.00
With the nearest neighbours (Å) after each atom.
Positions (direct):
Li1 0.0000 0.0000 0.0000  8 Th 3.35, 4 Sn 3.40
Th1 0.0000 0.5000 0.5000  4 Sn 3.35, 4 Li 3.35, 4 Th 3.40
Th2 0.5000 0.0000 0.5000  4 Sn 3.35, 4 Li 3.35, 4 Th 3.40
Sn1 0.5000 0.5000 0.0000  8 Th 3.35, 4 Li 3.40

V (Å³/f.u.): 107.9
Space-group type: No. 123
Excess energy over the best structure of this formula in the dataset (eV per atom): 0.000
Density of states at the Fermi level (states/eV per cell): 2.309